Record 1
Crystalline La3Dy2Th2 at its relaxed geometry. Source: Alexandria, functional PBE-GGA.

The formation energy is 0.168 eV/atom.

Cell and atoms, written as CIF:
```
data_La3Dy2Th2
_chemical_formula_sum 'La3 Dy2 Th2'
_space_group_name_H-M_alt 'P 1 2/m 1'
_space_group_IT_number 10
_cell_length_a 5.655
_cell_length_b 3.470
_cell_length_c 12.480
_cell_angle_alpha 90.00
_cell_angle_beta 103.04
_cell_angle_gamma 90.00
loop_
_space_group_symop_operation_xyz
'x,y,z'
'-x,-y,-z'
'-x,y,-z'
'x,-y,z'
loop_
_atom_site_label
_atom_site_fract_x
_atom_site_fract_y
_atom_site_fract_z
La1 0.000 0.000 0.000
La2 0.292 0.000 0.583
Dy1 0.425 0.500 0.851
Th1 0.142 0.000 0.284
```



Record 2
Crystalline La6DyTh2 at its relaxed geometry. Source: Alexandria, functional PBE-GGA.

The formation energy is 0.062 eV/atom.

Cell and atoms, written as CIF:
```
data_La6DyTh2
_chemical_formula_sum 'La6 Dy1 Th2'
_space_group_name_H-M_alt 'P -6 m 2'
_space_group_IT_number 187
_space_group_name_Hall 'P -6 2'
_cell_length_a 3.6441
_cell_length_b 3.6441
_cell_length_c 27.5547
_cell_angle_alpha 90.00
_cell_angle_beta 90.00
_cell_angle_gamma 120.00
loop_
_atom_site_label
_atom_site_fract_x
_atom_site_fract_y
_atom_site_fract_z
La1 0.0000 0.0000 0.0632
La2 0.0000 0.0000 0.2773
La3 0.3333 0.6667 0.3941
Dy1 0.0000 0.0000 0.5000
Th1 0.3333 0.6667 0.1699
```



Magnetization per entry: 0.00, 0.00 μB/atom